Record 1
PBE-GGA ReHgOs2, relaxed; Fermi-level density of states = 4.26 states/eV/f.u.; SG = No. 25
1.0
-2.2606 1.1520 3.0227
-0.4875 -2.6737 0.6544
4.2427 -2.6681 4.1900
Hg Os Re
1 2 1
Cartesian
1.7001 -3.4302 5.1550
-0.3494 -2.6722 0.7571
-0.1351 -0.7588 2.7644
1.6692 -2.6731 2.2672

Record 2
PBE-GGA ReHg2Os, relaxed; ΔE to the lowest computed polymorph = 0.460 eV/atom; Fermi-level density of states = 2.78 states/eV/f.u.; SG = No. 44
1.0
6.2447 0.0119 -0.0019
3.7245 5.0124 0.0019
-4.3598 -3.7519 2.4314
Hg Os Re
2 1 1
Cartesian
0.2615 0.1318 0.0000
3.1898 -0.7374 1.2147
4.6489 2.3429 0.0000
2.4938 2.0471 1.2166

Record 3
PBE-GGA ReHgOs2, relaxed; Fermi-level density of states = 4.76 states/eV/f.u.; SG = No. 44
1.0
5.8465 -0.0166 0.0046
3.3428 4.7966 -0.0046
-3.9948 -3.5433 2.3809
Hg Os Re
1 2 1
Cartesian
1.9286 1.7994 1.1882
8.8877 4.6231 0.0000
3.2478 -0.5721 1.1928
4.9145 2.5564 0.0000

Record 4
PBE-GGA ReHg2Os, relaxed; ΔE to the lowest computed polymorph = 0.000 eV/atom; Fermi-level density of states = 2.14 states/eV/f.u.; SG = No. 6
1.0
-2.8977 0.2447 0.1619
-0.2927 -2.2146 -1.8919
-0.3179 -7.2672 5.2919
Hg Os Re
2 1 1
Cartesian
-0.3475 -7.3399 4.8730
-1.5721 -2.1740 1.3453
-0.2988 -4.8711 2.0144
-1.9133 -6.8602 2.3211

Record 5
PBE-GGA ReHg2Os, relaxed; ΔE to the lowest computed polymorph = 0.614 eV/atom; Fermi-level density of states = 4.08 states/eV/f.u.; SG = No. 71
1.0
5.7328 0.0064 -0.0073
2.8800 4.9569 0.0073
-3.5998 -3.7078 2.4817
Hg Os Re
2 1 1
Cartesian
8.5929 4.9518 0.0000
4.3263 2.4931 0.0000
3.2197 -0.6099 1.2372
1.7933 1.8654 1.2445

Record 6
PBE-GGA ReHgOs2, relaxed; Fermi-level density of states = 4.75 states/eV/f.u.; SG = No. 8
1.0
-3.3875 0.0333 3.5408
-3.1947 -2.6382 2.6166
2.7854 -1.1349 3.8615
Hg Os Re
1 2 1
Cartesian
-0.9844 -0.9332 2.4923
2.6301 -1.1518 3.8782
-2.8553 -2.7819 7.4465
-1.7001 -1.8775 5.0729

Record 7
PBE-GGA ReHgOs2, relaxed; Fermi-level density of states = 2.21 states/eV/f.u.; SG = No. 160
1.0
9.5278 0.0008 0.0005
9.1136 2.7789 0.0005
9.1136 1.3590 2.4240
Hg Os Re
1 2 1
Cartesian
20.8029 3.1020 1.8175
27.5534 4.1087 2.4073
6.9342 1.0340 0.6058
14.0969 2.1021 1.2316

Record 8
PBE-GGA ReHg3Os, relaxed; ΔE to the lowest computed polymorph = 0.000 eV/atom; Fermi-level density of states = 3.37 states/eV/f.u.; SG = No. 221
1.0
5.2169 0.0000 0.0000
0.0000 5.2169 0.0000
0.0000 0.0000 5.2169
Re Os Hg
1 1 3
Cartesian
2.6085 2.6085 2.6085
0.0000 0.0000 0.0000
0.0000 2.6085 0.0000
0.0000 0.0000 2.6085
2.6085 0.0000 0.0000

| no. | ΔE_f (eV/atom) |
| --- | --- |
| 1 | 0.65 |
| 2 | 0.85 |
| 3 | 0.80 |
| 4 | 0.39 |
| 5 | 1.00 |
| 6 | 0.69 |
| 7 | 0.44 |
| 8 | 1.92 |